Entry 1:
Density functional theory data (GGA-PBE) for a geometry-optimized LiCa2Cd structure.

## Properties
total magnetic moment: 0.0 μB/f.u.
volume: 132 Å³ per cell
ρ: 2516 kg/m3
uncorrected energy: -0.128 Ry per atom
ΔE_f: -33 meV per atom

a = 10.4632 Å, b = 10.4632 Å, c = 10.4632 Å
α = 21.24°, β = 21.24°, γ = 21.24°
With the nearest neighbours (Å) after each atom.
Sites, in units of the cell vectors:
Ca1 0.5056 0.5056 0.5056  3 Cd 3.26, 3 Li 3.52
Ca2 0.9944 0.9944 0.9944  3 Cd 3.26, 3 Li 3.52
Cd1 0.2500 0.2500 0.2500  6 Ca 3.26
Li1 0.7500 0.7500 0.7500  6 Ca 3.52, 6 Li 3.86

Entry 2:
Density functional theory data (GGA-PBE) for a geometry-optimized YZn2SiNi2 structure.

## Properties
total magnetic moment: 0.0 μB/f.u.
volume: 101 Å³ per cell
ρ: 6004 kg/m3
formation energy without anion corrections: -304 meV per atom
uncorrected energy: -0.341 Ry per atom

a = 4.2726 Å, b = 4.2726 Å, c = 5.5325 Å
α = 90.00°, β = 90.00°, γ = 90.00°
With the nearest neighbours (Å) after each atom.
Sites, in units of the cell vectors:
Ni1 0.5000 0.0000 0.0000  2 Si 2.14
Ni2 0.0000 0.5000 0.0000  2 Si 2.14
Si1 0.0000 0.0000 0.0000  4 Ni 2.14
Zn1 0.5000 0.5000 0.7357  4 Ni 2.59, 1 Zn 2.61
Zn2 0.5000 0.5000 0.2643  4 Ni 2.59, 1 Zn 2.61
Y1 0.0000 0.0000 0.5000  2 Si 2.77

Entry 3:
Density functional theory data (GGA-PBE) for a geometry-optimized ZnInTc4 structure.

## Properties
total magnetic moment: 0.0 μB/f.u.
volume: 99 Å³ per cell
ρ: 9589 kg/m3
uncorrected energy: -0.528 Ry per atom
ΔE_f: 395 meV per atom

a = 5.1942 Å, b = 5.1942 Å, c = 5.1942 Å
α = 60.00°, β = 60.00°, γ = 60.00°
With the nearest neighbours (Å) after each atom.
Sites, in units of the cell vectors:
Tc1 0.3753 0.8740 0.3753  6 Tc 2.59-2.60
Tc2 0.3753 0.3753 0.8740  6 Tc 2.59-2.60
Tc3 0.3753 0.3753 0.3753  6 Tc 2.59-2.60
Tc4 0.8740 0.3753 0.3753  6 Tc 2.59-2.60
Zn1 0.7500 0.7500 0.7500  12 Tc 3.04, 4 In 3.18
In1 0.0000 0.0000 0.0000  12 Tc 3.05, 4 Zn 3.18

Entry 4:
Density functional theory data (GGA-PBE) for a geometry-optimized HfN2O2 structure.

## Properties
total magnetic moment: 0.0 μB/f.u.
volume: 45 Å³ per cell
ρ: 8895 kg/m3
formation energy without anion corrections: 557 meV per atom
uncorrected energy: -0.496 Ry per atom

a = 3.5524 Å, b = 3.5524 Å, c = 3.5279 Å
α = 90.00°, β = 90.00°, γ = 90.00°
With the nearest neighbours (Å) after each atom.
Sites, in units of the cell vectors:
N1 0.5000 0.0000 0.0000  2 O 1.78
N2 0.0000 0.5000 0.0000  2 O 1.78
O1 0.0000 0.0000 0.0000  2 O 1.76, 4 N 1.78
O2 0.0000 0.0000 0.5000  2 O 1.76
Hf1 0.5000 0.5000 0.5000  8 N 2.50, 4 O 2.51

Entry 5:
Density functional theory data (GGA-PBE) for a geometry-optimized AlV3Cr structure.

## Properties
total magnetic moment: 2.2 μB/f.u.
volume: 89 Å³ per cell
ρ: 4302 kg/m3
uncorrected energy: -0.494 Ry per atom
ΔE_f: 1423 meV per atom

a = 4.4725 Å, b = 4.4725 Å, c = 4.4725 Å
α = 90.00°, β = 90.00°, γ = 90.00°
With the nearest neighbours (Å) after each atom.
Sites, in units of the cell vectors:
Al1 0.0000 0.0000 0.0000  6 V 2.24
Cr1 0.5000 0.5000 0.5000  12 V 3.16
V1 0.5000 0.0000 0.0000  2 Al 2.24
V2 0.0000 0.5000 0.0000  2 Al 2.24
V3 0.0000 0.0000 0.5000  2 Al 2.24

Entry 6:
Density functional theory data (GGA-PBE) for a geometry-optimized K4LiIn structure.

## Properties
total magnetic moment: 0.0 μB/f.u.
volume: 306 Å³ per cell
ρ: 1509 kg/m3
uncorrected energy: -0.090 Ry per atom
ΔE_f: 284 meV per atom

a = 7.5646 Å, b = 7.5646 Å, c = 7.5646 Å
α = 60.00°, β = 60.00°, γ = 60.00°
With the nearest neighbours (Å) after each atom.
Sites, in units of the cell vectors:
Li1 0.7500 0.7500 0.7500  12 K 4.44, 4 In 4.63
K1 0.3744 0.8768 0.3744  6 K 3.76-3.80
K2 0.8768 0.3744 0.3744  6 K 3.76-3.80
K3 0.3744 0.3744 0.8768  6 K 3.76-3.80
K4 0.3744 0.3744 0.3744  6 K 3.76-3.80
In1 0.0000 0.0000 0.0000  12 K 4.43, 4 Li 4.63

Entry 7:
Density functional theory data (GGA-PBE) for a geometry-optimized TlFeTe2 structure.

## Properties
total magnetic moment: 3.7 μB/f.u.
volume: 127 Å³ per cell
ρ: 6729 kg/m3
formation energy without anion corrections: 504 meV per atom
uncorrected energy: -0.277 Ry per atom

a = 8.0783 Å, b = 8.0783 Å, c = 8.0783 Å
α = 150.54°, β = 150.54°, γ = 42.15°
With the nearest neighbours (Å) after each atom.
Sites, in units of the cell vectors:
Te1 0.0000 0.0000 0.0000  4 Tl 2.90
Te2 0.2500 0.7500 0.5000  4 Fe 2.90
Fe1 0.7500 0.2500 0.5000  4 Te 2.90
Tl1 0.5000 0.5000 0.0000  4 Te 2.90

Entry 8:
Density functional theory data (GGA-PBE) for a geometry-optimized PaCuSb2N structure.

## Properties
total magnetic moment: 0.0 μB/f.u.
volume: 215 Å³ per cell
ρ: 8538 kg/m3
formation energy without anion corrections: -695 meV per atom
uncorrected energy: -0.494 Ry per atom

a = 3.8803 Å, b = 3.8803 Å, c = 14.2626 Å
α = 90.00°, β = 90.00°, γ = 90.00°
With the nearest neighbours (Å) after each atom.
Sites, in units of the cell vectors:
Pa1 0.5000 0.0000 0.5840  4 N 2.28
Pa2 0.0000 0.5000 0.4160  4 N 2.28
Sb1 0.0000 0.5000 0.0747  5 Cu 2.61-2.79
Sb2 0.5000 0.0000 0.2870  1 Cu 2.55
Sb3 0.5000 0.0000 0.9253  5 Cu 2.61-2.79
Sb4 0.0000 0.5000 0.7130  1 Cu 2.55
Cu1 0.0000 0.5000 0.8916  6 Sb 2.55-2.79
Cu2 0.5000 0.0000 0.1084  6 Sb 2.55-2.79
N1 0.5000 0.5000 0.5000  4 Pa 2.28
N2 0.0000 0.0000 0.5000  4 Pa 2.28